This record from Alexandria describes a relaxed AlRhPb2 crystal. The functional is PBE.

a b c (Å): 6.798 6.798 6.798
angles (deg): 152.26 140.21 49.19
Fractional positions:
Pb (0.009, 0.009, 0.000)
Pb (0.705, 0.205, 0.500)
Rh (0.468, 0.468, 0.000)
Al (0.318, 0.818, 0.500)

Results
Formation enthalpy at 0 K: 20 meV/atom

This record from Alexandria describes a relaxed RbLa2Rh crystal. The functional is PBE.

a b c (Å): 8.584 8.584 8.586
angles (deg): 60.01 60.01 90.00
Fractional positions:
Rh (0.000, 0.000, 0.000)
Rh (0.750, 0.250, 0.500)
Rb (0.500, 0.500, 0.000)
Rb (0.250, 0.750, 0.500)
La (0.874, 0.125, 0.250)
La (0.876, 0.625, 0.250)
La (0.375, 0.126, 0.750)
La (0.875, 0.124, 0.750)

Results
Relative energy among the computed polymorphs: 381 meV/atom
Formation enthalpy at 0 K: 61 meV/atom

This record from Alexandria describes a relaxed CeNpPt2 crystal. The functional is PBE.

a b c (Å): 4.123 4.123 7.052
angles (deg): 73.00 73.00 60.00
Last column: magnetic moment on the atom in μB.
Fractional positions:
Np (0.000, 0.000, 0.000)  3.68
Ce (0.500, 0.500, 0.500)  0.61
Pt (0.254, 0.254, 0.238)  -0.07
Pt (0.746, 0.746, 0.762)  -0.07

Results
Relative energy among the computed polymorphs: 0 meV/atom
Formation enthalpy at 0 K: -718 meV/atom

This record from Alexandria describes a relaxed MgScC2S crystal. The functional is PBE.

a b c (Å): 4.202 4.987 4.202
angles (deg): 90.00 90.00 90.00
Fractional positions:
Sc (0.000, 0.000, 0.000)
C (0.000, 0.000, 0.500)
C (0.500, 0.000, 0.000)
S (0.000, 0.500, 0.000)
Mg (0.500, 0.500, 0.500)

Results
Formation energy (no corrections): 1.152 eV per atom

This record from Alexandria describes a relaxed HoCu4Rh2 crystal. The functional is PBE.

a b c (Å): 5.154 5.173 5.173
angles (deg): 75.84 60.27 60.27
Fractional positions:
Rh (0.753, 0.497, 0.497)
Rh (0.247, 0.503, 0.503)
Ho (0.000, 0.000, 0.000)
Cu (0.690, 0.615, 0.000)
Cu (0.310, 0.385, 0.000)
Cu (0.690, 0.000, 0.615)
Cu (0.310, 0.000, 0.385)

Results
Formation enthalpy at 0 K: -226 meV/atom

This record from Alexandria describes a relaxed KTeSI2 crystal. The functional is PBE.

a b c (Å): 6.594 6.594 6.810
angles (deg): 90.00 90.00 90.00
Last column: magnetic moment on the atom in μB.
Fractional positions:
I (0.000, 0.500, 0.000)  0.34
I (0.500, 0.000, 0.000)  0.34
K (0.000, 0.000, 0.000)  0.00
Te (0.000, 0.000, 0.500)  1.01
S (0.500, 0.500, 0.500)  1.16

Results
Relative energy among the computed polymorphs: 1099 meV/atom
Formation energy (no corrections): 0.644 eV per atom

This record from Alexandria describes a relaxed GaReOs crystal. The functional is PBE.

a b c (Å): 2.864 2.864 5.723
angles (deg): 104.49 104.49 90.00
Fractional positions:
Re (0.672, 0.672, 0.344)
Os (0.330, 0.330, 0.659)
Ga (0.998, 0.998, 0.997)

Results
Formation enthalpy at 0 K: -15 meV/atom

This record from Alexandria describes a relaxed LaSc2TlRu crystal. The functional is PBE.

a b c (Å): 5.080 5.361 5.080
angles (deg): 90.00 90.00 90.00
Fractional positions:
Sc (0.000, 0.000, 0.500)
Sc (0.500, 0.000, 0.000)
Ru (0.000, 0.000, 0.000)
Tl (0.500, 0.500, 0.500)
La (0.000, 0.500, 0.000)

Results
Formation enthalpy at 0 K: -175 meV/atom

This record from Alexandria describes a relaxed Ba2LuCu3O7 crystal. The functional is PBE.

a b c (Å): 3.810 3.899 11.813
angles (deg): 90.00 90.00 90.00
Fractional positions:
Ba (0.500, 0.500, 0.182)
Ba (0.500, 0.500, 0.818)
Lu (0.500, 0.500, 0.500)
Cu (0.000, 0.000, 0.357)
Cu (0.000, 0.000, 0.643)
Cu (0.000, 0.000, 0.000)
O (0.000, 0.500, 0.000)
O (0.000, 0.500, 0.383)
O (0.000, 0.500, 0.617)
O (0.500, 0.000, 0.385)
O (0.500, 0.000, 0.615)
O (0.000, 0.000, 0.159)
O (0.000, 0.000, 0.841)

Results
Formation energy (no corrections): -1.817 eV per atom

This record from Alexandria describes a relaxed AcIn3Ir2 crystal. The functional is PBE.

a b c (Å): 4.382 9.321 11.105
angles (deg): 107.92 90.00 103.60
Fractional positions:
Ac (0.161, 0.323, 0.707)
Ac (0.839, 0.677, 0.293)
Ac (0.000, 0.000, 0.000)
In (0.042, 0.084, 0.342)
In (0.958, 0.916, 0.658)
In (0.218, 0.436, 0.397)
In (0.782, 0.564, 0.603)
In (0.630, 0.259, 0.205)
In (0.370, 0.741, 0.795)
In (0.500, 0.000, 0.500)
In (0.326, 0.653, 0.037)
In (0.674, 0.347, 0.963)
Ir (0.202, 0.404, 0.136)
Ir (0.798, 0.596, 0.864)
Ir (0.474, 0.949, 0.208)
Ir (0.526, 0.051, 0.792)
Ir (0.366, 0.732, 0.548)
Ir (0.634, 0.268, 0.452)

Results
Relative energy among the computed polymorphs: 0 meV/atom
Formation enthalpy at 0 K: -357 meV/atom

This record from Alexandria describes a relaxed Nd2Ge2Rh5 crystal. The functional is PBE.

a b c (Å): 4.234 4.234 9.091
angles (deg): 90.00 90.00 90.00
Fractional positions:
Nd (0.000, 0.000, 0.000)
Nd (0.000, 0.000, 0.500)
Ge (0.500, 0.500, 0.143)
Ge (0.500, 0.500, 0.857)
Rh (0.500, 0.000, 0.271)
Rh (0.500, 0.000, 0.729)
Rh (0.500, 0.500, 0.500)
Rh (0.000, 0.500, 0.271)
Rh (0.000, 0.500, 0.729)

Results
Formation enthalpy at 0 K: -689 meV/atom

This record from Alexandria describes a relaxed HfTi6Sn3 crystal. The functional is PBE.

a b c (Å): 7.469 7.360 7.360
angles (deg): 94.91 90.00 90.00
Last column: magnetic moment on the atom in μB.
Fractional positions:
Hf (0.973, 0.333, 0.667)  0.02
Hf (0.473, 0.667, 0.333)  0.02
Ti (0.161, 0.731, 0.569)  0.01
Ti (0.661, 0.569, 0.731)  0.01
Ti (0.329, 0.592, 0.952)  -0.04
Ti (0.829, 0.952, 0.592)  -0.04
Ti (0.147, 0.085, 0.915)  0.16
Ti (0.621, 0.221, 0.779)  0.01
Ti (0.121, 0.779, 0.221)  0.01
Ti (0.647, 0.915, 0.085)  0.16
Ti (0.329, 0.048, 0.408)  -0.04
Ti (0.829, 0.408, 0.048)  -0.04
Ti (0.161, 0.431, 0.269)  0.01
Ti (0.661, 0.269, 0.431)  0.01
Sn (0.460, 0.888, 0.733)  0.00
Sn (0.960, 0.733, 0.888)  0.00
Sn (0.344, 0.394, 0.606)  0.00
Sn (0.844, 0.606, 0.394)  0.00
Sn (0.960, 0.112, 0.267)  0.00
Sn (0.460, 0.267, 0.112)  0.00

Results
Formation enthalpy at 0 K: -135 meV/atom

This record from Alexandria describes a relaxed PuMgOs2 crystal. The functional is PBE.

a b c (Å): 3.596 4.357 4.357
angles (deg): 90.00 90.00 90.00
Last column: magnetic moment on the atom in μB.
Fractional positions:
Mg (0.500, 0.500, 0.500)  0.01
Os (0.000, 0.000, 0.500)  -0.65
Os (0.000, 0.500, 0.000)  -0.65
Pu (0.500, 0.000, 0.000)  4.13

Results
Formation enthalpy at 0 K: 127 meV/atom

This record from Alexandria describes a relaxed Tb2PmPr5Th crystal. The functional is PBE.

a b c (Å): 5.753 10.751 10.665
angles (deg): 90.00 90.00 105.52
Fractional positions:
Tb (0.884, 0.768, 0.815)
Tb (0.114, 0.227, 0.736)
Tb (0.116, 0.232, 0.315)
Tb (0.886, 0.773, 0.236)
Pm (0.592, 0.185, 0.953)
Pm (0.408, 0.815, 0.453)
Pr (0.386, 0.772, 0.026)
Pr (0.724, 0.447, 0.814)
Pr (0.480, 0.960, 0.744)
Pr (0.293, 0.585, 0.704)
Pr (0.985, 0.970, 0.520)
Pr (0.614, 0.228, 0.526)
Pr (0.276, 0.553, 0.314)
Pr (0.520, 0.040, 0.244)
Pr (0.707, 0.415, 0.204)
Pr (0.015, 0.030, 0.020)
Th (0.801, 0.603, 0.512)
Th (0.199, 0.397, 0.012)

Results
Formation enthalpy at 0 K: 156 meV/atom

This record from Alexandria describes a relaxed PmPrGdZn crystal. The functional is PBE.

a b c (Å): 5.468 5.468 5.468
angles (deg): 60.00 60.00 60.00
Last column: magnetic moment on the atom in μB.
Fractional positions:
Pr (0.250, 0.250, 0.250)  0.08
Zn (0.000, 0.000, 0.000)  -0.01
Gd (0.750, 0.750, 0.750)  7.20
Pm (0.500, 0.500, 0.500)  0.20

Results
Formation enthalpy at 0 K: 59 meV/atom

This record from Alexandria describes a relaxed AcSmEuIn crystal. The functional is PBE.

a b c (Å): 5.754 5.754 5.754
angles (deg): 60.00 60.00 60.00
Last column: magnetic moment on the atom in μB.
Fractional positions:
Eu (0.750, 0.750, 0.750)  6.91
Ac (0.000, 0.000, 0.000)  0.16
Sm (0.250, 0.250, 0.250)  0.17
In (0.500, 0.500, 0.500)  -0.01

Results
Formation enthalpy at 0 K: -59 meV/atom

This record from Alexandria describes a relaxed Eu2PuCd crystal. The functional is PBE.

a b c (Å): 3.770 3.770 9.153
angles (deg): 90.00 90.00 90.00
Last column: magnetic moment on the atom in μB.
Fractional positions:
Eu (0.000, 0.000, 0.724)  7.00
Eu (0.000, 0.000, 0.276)  7.00
Pu (0.500, 0.500, 0.000)  5.88
Cd (0.500, 0.500, 0.500)  0.00

Results
Relative energy among the computed polymorphs: 0 meV/atom
Formation enthalpy at 0 K: -7 meV/atom

This record from Alexandria describes a relaxed La6TmSn crystal. The functional is PBE.

a b c (Å): 5.091 5.091 10.361
angles (deg): 90.00 90.00 90.00
Fractional positions:
La (0.500, 0.500, 0.000)
La (0.500, 0.500, 0.500)
La (0.500, 0.000, 0.243)
La (0.500, 0.000, 0.757)
La (0.000, 0.500, 0.243)
La (0.000, 0.500, 0.757)
Tm (0.000, 0.000, 0.500)
Sn (0.000, 0.000, 0.000)

Results
Formation enthalpy at 0 K: -214 meV/atom

This record from Alexandria describes a relaxed Hg2Br3Cl crystal. The functional is PBE.

a b c (Å): 4.929 7.874 12.456
angles (deg): 91.67 78.59 71.76
Fractional positions:
Hg (0.878, 0.368, 0.876)
Hg (0.122, 0.632, 0.124)
Hg (0.628, 0.116, 0.627)
Hg (0.372, 0.884, 0.373)
Br (0.076, 0.046, 0.802)
Br (0.924, 0.954, 0.198)
Br (0.681, 0.692, 0.945)
Br (0.319, 0.308, 0.055)
Br (0.829, 0.799, 0.544)
Br (0.171, 0.201, 0.456)
Cl (0.437, 0.417, 0.708)
Cl (0.563, 0.583, 0.292)

Results
Formation energy (no corrections): -0.486 eV per atom

This record from Alexandria describes a relaxed CdW2Br crystal. The functional is PBE.

a b c (Å): 6.853 6.853 4.957
angles (deg): 82.10 82.10 26.68
Fractional positions:
Br (0.443, 0.443, 0.681)
W (0.102, 0.102, 0.810)
W (0.742, 0.742, 0.747)
Cd (0.212, 0.212, 0.262)

Results
Relative energy among the computed polymorphs: 446 meV/atom
Formation energy (no corrections): 0.831 eV per atom